Entry 1:
Material: LiIrBr2
Method: DFT, PBE-GGA
State: optimized geometry

## Properties
VASP energy, eV per atom: -3.633
Uncorrected formation energy, kcal/mol of atoms: -2.382

Geometry as CIF:
```
data_LiIrBr2
_chemical_formula_sum 'Li1 Ir1 Br2'
_cell_length_a 4.613
_cell_length_b 4.762
_cell_length_c 4.652
_cell_angle_alpha 90.00
_cell_angle_beta 116.48
_cell_angle_gamma 90.00
_symmetry_space_group_name_H-M 'P 1 m 1'
_symmetry_Int_Tables_number 6
loop_
_symmetry_equiv_pos_as_xyz
'x,y,z'
'x,-y,z'
loop_
_atom_site_label
_atom_site_fract_x
_atom_site_fract_y
_atom_site_fract_z
_atom_site_occupancy
Li1 0.000 0.000 0.000 1
Ir1 0.754 0.500 0.251 1
Br1 0.168 0.500 0.834 1
Br2 0.660 0.000 0.343 1
```


Entry 2:
Material: CoAg2Ru
Method: DFT, PBE-GGA
State: optimized geometry

## Properties
VASP energy, eV per atom: -5.014
Calculated formation energy, meV per atom: 507

Geometry as CIF:
```
data_CoAg2Ru
_chemical_formula_sum 'Co3 Ag6 Ru3'
_cell_length_a 2.7346
_cell_length_b 2.7346
_cell_length_c 28.1605
_cell_angle_alpha 90.00
_cell_angle_beta 90.00
_cell_angle_gamma 120.00
_symmetry_space_group_name_H-M 'R -3 m'
_symmetry_Int_Tables_number 166
_symmetry_space_group_name_Hall '-R 3 2"'
loop_
_atom_site_label
_atom_site_fract_x
_atom_site_fract_y
_atom_site_fract_z
_atom_site_occupancy
Co1 0.0000 0.0000 0.0000 1
Ag1 0.0000 0.0000 0.2527 1
Ru1 0.0000 0.0000 0.5000 1
```